# 1
Density functional theory data (PBE) for crystalline Ho2CoSi at its relaxed geometry.

abc: 4.003 5.510 7.393
angles: 90.00 90.00 90.00
Element x y z (fractional)
Ho (0.000, 0.117, 0.000)
Ho (0.000, 0.883, 0.500)
Ho (0.500, 0.370, 0.358)
Ho (0.500, 0.630, 0.858)
Co (0.500, 0.136, 0.708)
Co (0.500, 0.864, 0.208)
Si (0.000, 0.363, 0.650)
Si (0.000, 0.637, 0.150)

Properties
SG: Pmc2_1 (26)

---

# 2
Density functional theory data (PBE) for crystalline Ac2Co3 at its relaxed geometry.

abc: 7.242 7.242 7.242
angles: 54.24 54.24 54.24
Element x y z (fractional)
Ac (0.104, 0.104, 0.104)
Ac (0.396, 0.396, 0.396)
Ac (0.604, 0.604, 0.604)
Ac (0.896, 0.896, 0.896)
Co (0.047, 0.250, 0.453)
Co (0.250, 0.453, 0.047)
Co (0.453, 0.047, 0.250)
Co (0.547, 0.953, 0.750)
Co (0.750, 0.547, 0.953)
Co (0.953, 0.750, 0.547)

Properties
formation energy from the elements: 0.56 eV per atom
SG: R-3c (167)

---

# 3
Density functional theory data (PBE) for crystalline Tm4Ga21Ni10 at its relaxed geometry.

abc: 10.595 10.595 15.479
angles: 124.47 124.47 22.07
Element x y z (fractional)
Tm (0.120, 0.120, 0.333)
Tm (0.230, 0.230, 0.824)
Tm (0.770, 0.770, 0.176)
Tm (0.880, 0.880, 0.667)
Ga (0.007, 0.007, 0.091)
Ga (0.065, 0.065, 0.795)
Ga (0.118, 0.118, 0.555)
Ga (0.201, 0.201, 0.003)
Ga (0.248, 0.248, 0.294)
Ga (0.298, 0.298, 0.498)
Ga (0.373, 0.373, 0.805)
Ga (0.384, 0.384, 0.296)
Ga (0.399, 0.399, 0.003)
Ga (0.460, 0.460, 0.631)
Ga (0.500, 0.500, 0.500)
Ga (0.540, 0.540, 0.369)
Ga (0.601, 0.601, 0.997)
Ga (0.616, 0.616, 0.704)
Ga (0.627, 0.627, 0.195)
Ga (0.702, 0.702, 0.502)
Ga (0.752, 0.752, 0.706)
Ga (0.799, 0.799, 0.997)
Ga (0.882, 0.882, 0.445)
Ga (0.935, 0.935, 0.205)
Ga (0.993, 0.993, 0.909)
Ni (0.025, 0.025, 0.607)
Ni (0.133, 0.133, 0.103)
Ni (0.251, 0.251, 0.615)
Ni (0.347, 0.347, 0.113)
Ni (0.497, 0.497, 0.813)
Ni (0.503, 0.503, 0.187)
Ni (0.653, 0.653, 0.887)
Ni (0.749, 0.749, 0.385)
Ni (0.867, 0.867, 0.897)
Ni (0.975, 0.975, 0.393)

Properties
SG: C2/m (12)

---

# 4
Density functional theory data (PBE) for crystalline Pr2YBi3 at its relaxed geometry.

abc: 4.554 4.554 11.193
angles: 90.00 90.00 120.00
Element x y z (fractional)
Pr (0.333, 0.667, 0.328)
Pr (0.667, 0.333, 0.672)
Y (0.000, 0.000, 0.000)
Bi (0.000, 0.000, 0.500)
Bi (0.333, 0.667, 0.842)
Bi (0.667, 0.333, 0.158)

Properties
SG: P-3m1 (164)

---

# 5
Density functional theory data (PBE) for crystalline PmBAs at its relaxed geometry.

abc: 6.187 6.187 6.187
angles: 90.00 90.00 90.00
Element x y z (fractional)
Pm (0.000, 0.000, 0.000)
Pm (0.000, 0.500, 0.500)
Pm (0.500, 0.000, 0.500)
Pm (0.500, 0.500, 0.000)
B (0.250, 0.250, 0.750)
B (0.250, 0.750, 0.250)
B (0.750, 0.250, 0.250)
B (0.750, 0.750, 0.750)
As (0.000, 0.000, 0.500)
As (0.000, 0.500, 0.000)
As (0.500, 0.000, 0.000)
As (0.500, 0.500, 0.500)

Properties
SG: F-43m (216)

---

# 6
Density functional theory data (PBE) for crystalline LuSc3Te2C2 at its relaxed geometry.

abc: 3.613 3.613 13.362
angles: 90.00 90.00 120.00
Element x y z (fractional)
Lu (0.000, 0.000, 0.000)
Sc (0.000, 0.000, 0.675)
Sc (0.667, 0.333, 0.183)
Sc (0.667, 0.333, 0.499)
Te (0.000, 0.000, 0.341)
Te (0.667, 0.333, 0.832)
C (0.333, 0.667, 0.094)
C (0.333, 0.667, 0.587)

Properties
SG: P3m1 (156)

---

Number 1: uncorrected energy -5.96 eV per atom. Number 2: uncorrected energy -5.34 eV per atom. Number 3: uncorrected energy -4.43 eV per atom. Number 4: uncorrected energy -5.64 eV per atom. Number 5: uncorrected energy -5.25 eV per atom. Number 6: uncorrected energy -6.89 eV per atom.